# 1
# Li4YPd5

A relaxed Li4YPd5 crystal (PBE, Alexandria via LeMat-Bulk).

## Properties
* calculated total energy: -0.1654 Ha/atom
* E_form: -0.493 eV/atom
* M_tot: 0.00 μB per formula unit
* SG: P4/mmm, No. 123

Unit cell a=3.180 b=3.180 c=15.191 alpha=90.00 beta=90.00 gamma=90.00
Element x y z (fractional)
Li (0.000, 0.000, 0.092)
Li (0.000, 0.000, 0.277)
Li (0.000, 0.000, 0.723)
Li (0.000, 0.000, 0.908)
Y (0.000, 0.000, 0.500)
Pd (0.500, 0.500, 0.000)
Pd (0.500, 0.500, 0.187)
Pd (0.500, 0.500, 0.376)
Pd (0.500, 0.500, 0.624)
Pd (0.500, 0.500, 0.813)

***

# 2
# Zr2ZnBr

A relaxed Zr2ZnBr crystal (PBE, Alexandria via LeMat-Bulk).

## Properties
* calculated total energy: -0.1848 Ha/atom
* excess energy over the best structure of this formula in the dataset: 286.1 meV/atom
* ΔE_f (raw): -7 kJ/mol of formula units
* M_tot: 0.00 μB per formula unit
* SG: Pmmm, No. 47

Unit cell a=3.310 b=4.715 c=5.497 alpha=90.00 beta=90.00 gamma=90.00
Element x y z (fractional)
Zr (0.000, 0.000, 0.000)
Zr (0.500, 0.000, 0.500)
Zn (0.000, 0.500, 0.500)
Br (0.500, 0.500, 0.000)

***

# 3
# LiSm5Se8

A relaxed LiSm5Se8 crystal (PBE, Alexandria via LeMat-Bulk).

## Properties
* calculated total energy: -0.2069 Ha/atom
* ΔE_f (raw): -2455 kJ/mol of formula units
* M_tot: 0.00 μB per formula unit
* SG: I-4, No. 82

Unit cell a=7.644 b=7.644 c=7.644 alpha=109.80 beta=109.80 gamma=108.82
Element x y z (fractional)
Li (0.000, 0.000, 0.000)
Sm (0.118, 0.499, 0.874)
Sm (0.250, 0.750, 0.500)
Sm (0.501, 0.375, 0.619)
Sm (0.625, 0.244, 0.126)
Sm (0.756, 0.882, 0.381)
Se (0.024, 0.270, 0.390)
Se (0.237, 0.131, 0.746)
Se (0.365, 0.976, 0.246)
Se (0.385, 0.491, 0.254)
Se (0.509, 0.763, 0.894)
Se (0.730, 0.119, 0.754)
Se (0.869, 0.615, 0.106)
Se (0.881, 0.635, 0.610)

***

# 4
# In2CS

A relaxed In2CS crystal (PBE, Alexandria via LeMat-Bulk).

## Properties
* calculated total energy: -0.1287 Ha/atom
* ΔE_f (raw): 465 kJ/mol of formula units
* M_tot: 0.00 μB per formula unit
* SG: Fm-3m, No. 225

Unit cell a=6.598 b=6.598 c=6.598 alpha=90.00 beta=90.00 gamma=90.00
Element x y z (fractional)
In (0.250, 0.250, 0.250)
In (0.250, 0.250, 0.750)
In (0.250, 0.750, 0.250)
In (0.250, 0.750, 0.750)
In (0.750, 0.250, 0.250)
In (0.750, 0.250, 0.750)
In (0.750, 0.750, 0.250)
In (0.750, 0.750, 0.750)
C (0.000, 0.000, 0.000)
C (0.000, 0.500, 0.500)
C (0.500, 0.000, 0.500)
C (0.500, 0.500, 0.000)
S (0.000, 0.000, 0.500)
S (0.000, 0.500, 0.000)
S (0.500, 0.000, 0.000)
S (0.500, 0.500, 0.500)

***

# 5
# Li3BMo

A relaxed Li3BMo crystal (PBE, Alexandria via LeMat-Bulk).

## Properties
* calculated total energy: -0.0946 Ha/atom
* excess energy over the best structure of this formula in the dataset: 996.1 meV/atom
* E_form: 2.076 eV/atom
* M_tot: 3.53 μB per formula unit
* SG: Pm-3m, No. 221

Unit cell a=4.962 b=4.962 c=4.962 alpha=90.00 beta=90.00 gamma=90.00
Element x y z (fractional)
Li (0.000, 0.000, 0.500)
Li (0.000, 0.500, 0.000)
Li (0.500, 0.000, 0.000)
B (0.500, 0.500, 0.500)
Mo (0.000, 0.000, 0.000)

***

# 6
# HfMoPt2I

A relaxed HfMoPt2I crystal (PBE, Alexandria via LeMat-Bulk).

## Properties
* calculated total energy: -0.2093 Ha/atom
* ΔE_f (raw): 573 kJ/mol of formula units
* M_tot: 2.89 μB per formula unit
* SG: P4/mmm, No. 123

Unit cell a=4.968 b=4.968 c=5.255 alpha=90.00 beta=90.00 gamma=90.00
Element x y z (fractional)
Hf (0.000, 0.000, 0.000)
Mo (0.000, 0.000, 0.500)
Pt (0.000, 0.500, 0.000)
Pt (0.500, 0.000, 0.000)
I (0.500, 0.500, 0.500)

***

# 7
# Sm3SiO6

A relaxed Sm3SiO6 crystal (PBE, Alexandria via LeMat-Bulk).

## Properties
* calculated total energy: -0.2964 Ha/atom
* ΔE_f (raw): -3022 kJ/mol of formula units
* M_tot: 0.00 μB per formula unit
* SG: Cmc2_1, No. 36

Unit cell a=7.256 b=7.256 c=5.575 alpha=90.00 beta=90.00 gamma=102.28
Element x y z (fractional)
Sm (0.101, 0.899, 0.500)
Sm (0.212, 0.414, 0.464)
Sm (0.414, 0.212, 0.964)
Sm (0.586, 0.788, 0.464)
Sm (0.788, 0.586, 0.964)
Sm (0.899, 0.101, 0.000)
Si (0.306, 0.694, 0.916)
Si (0.694, 0.306, 0.416)
O (0.101, 0.610, 0.778)
O (0.143, 0.171, 0.728)
O (0.171, 0.143, 0.228)
O (0.283, 0.717, 0.207)
O (0.390, 0.899, 0.778)
O (0.449, 0.551, 0.835)
O (0.551, 0.449, 0.335)
O (0.610, 0.101, 0.278)
O (0.717, 0.283, 0.707)
O (0.829, 0.857, 0.728)
O (0.857, 0.829, 0.228)
O (0.899, 0.390, 0.278)

***

# 8
# Al8Cu2Tc

A relaxed Al8Cu2Tc crystal (PBE, Alexandria via LeMat-Bulk).

## Properties
* calculated total energy: -0.1668 Ha/atom
* E_form: -0.130 eV/atom
* M_tot: 0.00 μB per formula unit
* SG: C2/m, No. 12

Unit cell a=8.862 b=8.862 c=4.826 alpha=104.07 beta=104.07 gamma=28.84
Element x y z (fractional)
Al (0.053, 0.053, 0.358)
Al (0.249, 0.249, 0.827)
Al (0.346, 0.346, 0.415)
Al (0.420, 0.420, 0.971)
Al (0.580, 0.580, 0.029)
Al (0.654, 0.654, 0.585)
Al (0.751, 0.751, 0.173)
Al (0.947, 0.947, 0.642)
Cu (0.189, 0.189, 0.270)
Cu (0.811, 0.811, 0.730)
Tc (0.500, 0.500, 0.500)